Entry from Alexandria: a relaxed structure of Na2Cu2H5 (PBE).

POSCAR file:
```
Na2Cu2H5
1.0
3.393 0.000 0.000
0.000 3.393 0.000
0.000 0.000 7.557
Na Cu H
2 2 5
direct
0.000 0.000 0.000
0.000 0.000 0.500
0.500 0.500 0.233
0.500 0.500 0.767
0.000 0.500 0.271
0.000 0.500 0.729
0.500 0.000 0.271
0.500 0.000 0.729
0.500 0.500 0.000
```

The energy above the most stable polymorph in this dataset is 0 meV/atom. As for the density of states at the Fermi level: 1.48 states/eV/cell. The space group is P4/mmm (123). For the electronic total energy, the calculation gives -3.1373 eV/atom. As for the volume: 9.66 A^3/atom.



Entry from Alexandria: a relaxed structure of Na3Cu2H7 (PBE).

POSCAR file:
```
Na3Cu2H7
1.0
1.759 -10.123 0.000
1.759 10.123 0.000
0.000 0.000 3.431
Na Cu H
3 2 7
direct
0.000 0.000 0.000
0.170 0.830 0.000
0.830 0.170 0.000
0.412 0.588 0.500
0.588 0.412 0.500
0.083 0.917 0.500
0.328 0.672 0.500
0.417 0.583 0.000
0.500 0.500 0.500
0.583 0.417 0.000
0.672 0.328 0.500
0.917 0.083 0.500
```

The energy above the most stable polymorph in this dataset is 18 meV/atom. As for the density of states at the Fermi level: 1.11 states/eV/cell. The space group is Cmmm (65). For the electronic total energy, the calculation gives -3.0121 eV/atom. As for the volume: 10.18 A^3/atom.



Entry from Alexandria: a relaxed structure of Na3Cu5H12 (PBE).

POSCAR file:
```
Na3Cu5H12
1.0
-5.703 5.703 5.703
5.703 -5.703 5.703
5.703 5.703 -5.703
Na Cu H
12 20 48
direct
0.125 0.250 0.375
0.125 0.375 0.750
0.250 0.375 0.125
0.250 0.875 0.625
0.375 0.125 0.250
0.375 0.750 0.125
0.625 0.250 0.875
0.625 0.875 0.750
0.750 0.125 0.375
0.750 0.625 0.875
0.875 0.625 0.250
0.875 0.750 0.625
0.000 0.000 0.000
0.000 0.000 0.500
0.000 0.500 0.000
0.000 0.500 0.500
0.125 0.750 0.875
0.125 0.875 0.250
0.250 0.125 0.875
0.250 0.625 0.375
0.375 0.250 0.625
0.375 0.625 0.750
0.500 0.000 0.000
0.500 0.000 0.500
0.500 0.500 0.000
0.500 0.500 0.500
0.625 0.375 0.250
0.625 0.750 0.375
0.750 0.375 0.625
0.750 0.875 0.125
0.875 0.125 0.750
0.875 0.250 0.125
0.004 0.179 0.109
0.004 0.325 0.895
0.070 0.679 0.675
0.070 0.891 0.395
0.105 0.609 0.430
0.105 0.996 0.675
0.109 0.004 0.179
0.109 0.605 0.930
0.175 0.179 0.570
0.175 0.496 0.605
0.179 0.109 0.004
0.179 0.570 0.175
0.321 0.325 0.930
0.321 0.496 0.391
0.325 0.895 0.004
0.325 0.930 0.321
0.391 0.321 0.496
0.391 0.570 0.895
0.395 0.070 0.891
0.395 0.825 0.504
0.430 0.105 0.609
0.430 0.825 0.821
0.496 0.391 0.321
0.496 0.605 0.175
0.504 0.395 0.825
0.504 0.609 0.679
0.570 0.175 0.179
0.570 0.895 0.391
0.605 0.175 0.496
0.605 0.930 0.109
0.609 0.430 0.105
0.609 0.679 0.504
0.675 0.070 0.679
0.675 0.105 0.996
0.679 0.504 0.609
0.679 0.675 0.070
0.821 0.430 0.825
0.821 0.891 0.996
0.825 0.504 0.395
0.825 0.821 0.430
0.891 0.395 0.070
0.891 0.996 0.821
0.895 0.004 0.325
0.895 0.391 0.570
0.930 0.109 0.605
0.930 0.321 0.325
0.996 0.675 0.105
0.996 0.821 0.891
```

As for the density of states at the Fermi level: 25.59 states/eV/cell. The space group is Ia-3d (230). For the electronic total energy, the calculation gives -3.1164 eV/atom. As for the volume: 9.27 A^3/atom.